# La2RuPtN, relaxed, DFT GGA-PBE
data_La2RuPtN
_chemical_formula_sum 'La2 Ru1 Pt1 N1'
_cell_length_a 5.2335
_cell_length_b 5.2335
_cell_length_c 3.8251
_cell_angle_alpha 90.00
_cell_angle_beta 90.00
_cell_angle_gamma 90.00
_space_group_name_H-M_alt 'P 1'
_space_group_IT_number 1
loop_
_space_group_symop_operation_xyz
'x,y,z'
loop_
_atom_site_label
_atom_site_type_symbol
_atom_site_fract_x
_atom_site_fract_y
_atom_site_fract_z
La1 La 0.0000 0.5000 0.0000
La2 La 0.5000 0.0000 0.0000
Ru1 Ru 0.0000 0.0000 0.5000
Pt1 Pt 0.5000 0.5000 0.5000
N1 N 0.0000 0.0000 0.0000
# Electronic total energy   -7.590 eV/atom
# Space-group type   P4/mmm (123)
# Total magnetization   0.0000 μB per atom
# N(E_F)   3.62 states/eV/cell
# Calculated volume   20.95 Å³/atom